Entry 1:
Below is crystalline BaCdSi2 at its relaxed geometry, with properties calculated at the PBE-GGA level.

abc: 4.772 4.772 9.003
angles: 90.00 90.00 90.00
Space group I-4m2 (No. 119)
Inequivalent atoms, fractional coordinates:
Ba  0.000  0.000  0.000 x2
Cd  0.000  0.500  0.750 x2
Si  0.000  0.000  0.500 x2
Si  0.000  0.500  0.250 x2

The value obtained for the total magnetization is 0.0 Bohr magnetons per cell. The value obtained for the uncorrected formation energy is 1.2 eV/f.u.

=====

Entry 2:
Below is crystalline ZrPaOs2 at its relaxed geometry, with properties calculated at the PBE-GGA level.

abc: 6.751 6.751 6.751
angles: 90.00 90.00 90.00
Space group Fm-3m (No. 225)
Inequivalent atoms, fractional coordinates:
Zr  0.000  0.000  0.000 x4
Pa  0.000  0.000  0.500 x4
Os  0.250  0.250  0.250 x8

The formation energy is -0.25 eV/atom. The value obtained for the total magnetization is 0.0 Bohr magnetons per cell. Its energy above the most stable polymorph in this dataset is 80 meV/atom.

=====

Entry 3:
Below is crystalline InReTe2 at its relaxed geometry, with properties calculated at the PBE-GGA level.

abc: 3.253 3.253 9.273
angles: 90.00 90.00 90.00
Space group P4/mmm (No. 123)
Inequivalent atoms, fractional coordinates:
In  0.000  0.000  0.000 x1
Re  0.000  0.000  0.500 x1
Te  0.500  0.500  0.319 x2

The value obtained for the total magnetization is 0.0 Bohr magnetons per cell. The value obtained for the uncorrected formation energy is 1.3 eV/f.u.

=====

Entry 4:
Below is crystalline La3Sm8Tm at its relaxed geometry, with properties calculated at the PBE-GGA level.

abc: 8.878 8.878 11.485
angles: 90.00 90.00 90.00
Space group I-42m (No. 121)
Inequivalent atoms, fractional coordinates:
La  0.000  0.000  0.000 x2
La  0.000  0.500  0.250 x4
Sm  0.122  0.122  0.253 x8
Sm  0.246  0.246  0.508 x8
Tm  0.000  0.000  0.500 x2

The formation energy is 0.55 eV/atom. The value obtained for the total magnetization is 0.0 Bohr magnetons per cell.

=====

Entry 5:
Below is crystalline Li3ZnPb at its relaxed geometry, with properties calculated at the PBE-GGA level.

abc: 9.862 7.190 5.996
angles: 90.00 90.00 90.00
Space group Ima2 (No. 46)
Inequivalent atoms, fractional coordinates:
Li  0.015  0.250  0.000 x8
Li  0.250  0.050  0.251 x4
Zn  0.250  0.750  0.001 x4
Pb  0.250  0.064  0.750 x4

The formation energy is -0.07 eV/atom. The value obtained for the total magnetization is 0.0 Bohr magnetons per cell. Its energy above the most stable polymorph in this dataset is 110 meV/atom.

=====

Entry 6:
Below is crystalline Ba3SiGe at its relaxed geometry, with properties calculated at the PBE-GGA level.

abc: 6.248 6.248 6.248
angles: 90.00 90.00 90.00
Space group Pm-3m (No. 221)
Inequivalent atoms, fractional coordinates:
Ba  0.000  0.000  0.500 x3
Si  0.000  0.000  0.000 x1
Ge  0.500  0.500  0.500 x1

The value obtained for the total magnetization is 1.5 Bohr magnetons per cell. Its energy above the most stable polymorph in this dataset is 0 meV/atom. The value obtained for the uncorrected formation energy is 0.4 eV/f.u.

=====

Entry 7:
Below is crystalline Mg2Ir2Pd at its relaxed geometry, with properties calculated at the PBE-GGA level.

abc: 7.474 7.474 2.849
angles: 90.00 90.00 90.00
Space group P4/mbm (No. 127)
Inequivalent atoms, fractional coordinates:
Mg  0.131  0.369  0.000 x4
Ir  0.169  0.669  0.500 x4
Pd  0.000  0.000  0.000 x2

The formation energy is 0.05 eV/atom. The value obtained for the total magnetization is 0.0 Bohr magnetons per cell. Its energy above the most stable polymorph in this dataset is 188 meV/atom.

=====

Entry 8:
Below is crystalline Ac2Nd5Er6 at its relaxed geometry, with properties calculated at the PBE-GGA level.

abc: 11.975 20.653 3.663
angles: 90.00 90.00 90.00
Space group Pbam (No. 55)
Inequivalent atoms, fractional coordinates:
Ac  0.166  0.224  0.000 x4
Nd  0.000  0.500  0.500 x2
Nd  0.094  0.785  0.500 x4
Nd  0.202  0.053  0.500 x4
Er  0.062  0.927  0.000 x4
Er  0.070  0.639  0.000 x4
Er  0.185  0.381  0.500 x4

The formation energy is 0.11 eV/atom. The value obtained for the total magnetization is 0.0 Bohr magnetons per cell.